Below is a relaxed MgTc crystal, with properties calculated at the PBE level.

POSCAR file:
```
MgTc
1.0
-3.937 -7.474 3.694
3.246 -2.482 -1.563
3.353 0.939 5.472
Mg Tc
8 8
direct
0.877 0.250 0.012
0.377 0.250 0.488
0.123 0.750 0.988
0.623 0.750 0.512
0.127 0.250 0.253
0.627 0.250 0.247
0.873 0.750 0.747
0.373 0.750 0.753
0.870 0.250 0.493
0.370 0.250 0.007
0.130 0.750 0.507
0.630 0.750 0.993
0.117 0.250 0.701
0.617 0.250 0.799
0.883 0.750 0.299
0.383 0.750 0.201
```

Properties
Volume   16.351 Å³/atom
Offset from the most stable computed form   0.131 eV per atom
Formation energy   0.11 eV per atom
Spin magnetization   0.00 μB per cell
Electronic total energy   -5.874 eV per atom


Below is a relaxed TlPCl3 crystal, with properties calculated at the PBE level.

POSCAR file:
```
TlPCl3
1.0
-5.183 -0.048 1.370
0.805 -4.443 2.890
1.110 3.000 4.302
P Tl Cl
1 1 3
direct
0.500 0.500 0.500
0.000 0.000 0.000
0.000 0.500 0.000
0.000 0.000 0.500
0.500 0.000 0.000
```

Properties
Volume   30.821 Å³/atom
Offset from the most stable computed form   0.956 eV per atom
Spin magnetization   2.57 μB per cell
Electronic total energy   -2.437 eV per atom


Below is a relaxed Al2Hg crystal, with properties calculated at the PBE level.

POSCAR file:
```
Al2Hg
1.0
-1.776 2.403 -1.400
-1.180 -1.606 2.631
2.682 4.163 3.744
Hg Al
1 2
direct
0.000 0.000 0.000
0.667 0.333 0.661
0.333 0.667 0.339
```

Properties
Volume   19.519 Å³/atom
Offset from the most stable computed form   0.030 eV per atom
Formation energy   0.14 eV per atom
Spin magnetization   0.00 μB per cell
Electronic total energy   -2.458 eV per atom


Below is a relaxed BaFeIr2 crystal, with properties calculated at the PBE level.

POSCAR file:
```
BaFeIr2
1.0
-3.834 4.427 1.050
-3.484 -0.440 4.803
5.397 0.502 -2.453
Ba Fe Ir
1 1 2
direct
0.501 0.501 0.000
0.200 0.700 0.500
0.007 0.007 0.000
0.793 0.293 0.500
```

Properties
Volume   20.672 Å³/atom
Formation energy   0.66 eV per atom
Spin magnetization   3.94 μB per cell
Electronic total energy   -6.371 eV per atom


Below is a relaxed NaCaTlCu crystal, with properties calculated at the PBE level.

POSCAR file:
```
NaCaTlCu
1.0
-2.761 -4.233 0.295
2.136 -4.488 -0.961
0.796 -3.284 3.770
Na Tl Ca Cu
1 1 1 1
direct
0.750 0.750 0.750
0.000 0.000 0.000
0.500 0.500 0.500
0.250 0.250 0.250
```

Properties
Volume   22.932 Å³/atom
Formation energy   -0.03 eV per atom
Spin magnetization   0.00 μB per cell
Electronic total energy   -2.475 eV per atom


Below is a relaxed KGaSi3 crystal, with properties calculated at the PBE level.

POSCAR file:
```
KGaSi3
1.0
-3.379 2.368 -2.822
0.535 -3.474 -3.555
-3.645 -2.704 2.094
K Si Ga
1 3 1
direct
0.500 0.500 0.500
0.000 0.500 0.000
0.000 0.000 0.500
0.500 0.000 0.000
0.000 0.000 0.000
```

Properties
Volume   24.982 Å³/atom
Offset from the most stable computed form   0.000 eV per atom
Spin magnetization   0.00 μB per cell
Electronic total energy   -3.318 eV per atom


Below is a relaxed Tm4CdIn2Rh crystal, with properties calculated at the PBE level.

POSCAR file:
```
Tm4CdIn2Rh
1.0
-3.926 1.287 -3.084
-3.873 -3.317 -0.763
-6.647 2.554 5.216
Tm Cd In Rh
4 1 2 1
direct
0.384 0.384 0.847
0.869 0.869 0.392
0.131 0.131 0.608
0.616 0.616 0.153
0.000 0.000 0.000
0.744 0.744 0.768
0.256 0.256 0.232
0.500 0.500 0.500
```

Properties
Volume   23.911 Å³/atom
Formation energy   -0.51 eV per atom
Spin magnetization   0.00 μB per cell
Electronic total energy   -4.467 eV per atom


Below is a relaxed BaTl6Cd crystal, with properties calculated at the PBE level.

POSCAR file:
```
BaTl6Cd
1.0
-4.574 -2.003 1.398
1.592 -4.695 -1.518
3.606 -1.771 9.257
Ba Tl Cd
1 6 1
direct
0.000 0.000 0.000
0.500 0.000 0.673
0.000 0.500 0.673
0.500 0.500 0.146
0.500 0.500 0.854
0.000 0.500 0.327
0.500 0.000 0.327
0.000 0.000 0.500
```

Properties
Volume   33.910 Å³/atom
Offset from the most stable computed form   0.000 eV per atom
Formation energy   -0.08 eV per atom
Spin magnetization   0.00 μB per cell
Electronic total energy   -2.207 eV per atom


Below is a relaxed TiPbC3 crystal, with properties calculated at the PBE level.

POSCAR file:
```
TiPbC3
1.0
4.169 0.000 0.000
0.000 4.169 0.000
0.000 0.000 4.169
Pb C Ti
1 3 1
direct
0.500 0.500 0.500
0.000 0.500 0.000
0.000 0.000 0.500
0.500 0.000 0.000
0.000 0.000 0.000
```

Properties
Volume   14.492 Å³/atom
Offset from the most stable computed form   0.000 eV per atom
Formation energy   1.68 eV per atom
Spin magnetization   0.00 μB per cell
Electronic total energy   -6.180 eV per atom


Below is a relaxed MgBiSb2Te crystal, with properties calculated at the PBE level.

POSCAR file:
```
MgBiSb2Te
1.0
5.790 0.000 0.000
0.000 5.790 0.000
0.000 0.000 5.999
Sb Mg Te Bi
2 1 1 1
direct
0.000 0.500 0.000
0.500 0.000 0.000
0.500 0.500 0.500
0.000 0.000 0.500
0.000 0.000 0.000
```

Properties
Volume   40.224 Å³/atom
Offset from the most stable computed form   0.327 eV per atom
Spin magnetization   0.00 μB per cell
Electronic total energy   -2.634 eV per atom


Below is a relaxed Tb2YTm4 crystal, with properties calculated at the PBE level.

POSCAR file:
```
Tb2YTm4
1.0
-2.965 6.001 -5.061
2.786 -5.987 -7.256
-6.391 1.211 7.279
Tb Y Tm
4 2 8
direct
0.696 0.242 0.758
0.555 0.819 0.055
0.625 0.189 0.063
0.125 0.492 0.867
0.194 0.861 0.875
0.056 0.431 0.167
0.978 0.172 0.271
0.480 0.637 0.234
0.771 0.510 0.664
0.836 0.822 0.620
0.338 0.148 0.445
0.271 0.040 0.691
0.414 0.533 0.486
0.912 0.854 0.306
```

Properties
Volume   31.170 Å³/atom
Offset from the most stable computed form   0.078 eV per atom
Formation energy   0.08 eV per atom
Spin magnetization   0.00 μB per cell
Electronic total energy   -4.721 eV per atom


Below is a relaxed Nb7AlGa5 crystal, with properties calculated at the PBE level.

POSCAR file:
```
Nb7AlGa5
1.0
-1.371 2.981 4.097
-6.087 3.477 -1.204
-4.120 -3.562 4.575
Nb Al Ga
7 1 5
direct
0.634 0.366 0.366
0.366 0.634 0.634
0.005 0.336 0.654
0.005 0.654 0.336
0.265 0.235 0.235
0.505 0.825 0.165
0.505 0.165 0.825
0.949 0.051 0.051
0.505 0.996 0.496
0.003 0.996 0.496
0.505 0.496 0.996
0.003 0.496 0.996
0.748 0.752 0.752
```

Properties
Volume   17.647 Å³/atom
Formation energy   -0.14 eV per atom
Spin magnetization   0.00 μB per cell
Electronic total energy   -7.010 eV per atom


- Which formula does entry 12 have?
  Nb7AlGa5


- Which value of electronic total energy does entry 6 give?
  -3.318 eV per atom